No. 1
Entry from the Alexandria database: crystalline Pr3NdSb2 at its relaxed geometry (GGA-PBE).

Computed properties:
Polymorph energy (0 for the lowest one) = 0.000 eV/atom
DFT total energy = -32.31 eV per formula unit
Formation energy from raw total energies = -0.83 eV per atom

Geometry as POSCAR:
```
Pr3NdSb2
1.0
-4.403 1.053 0.962
-1.103 -0.534 -4.463
-1.747 -8.649 1.466
Pr Sb Nd
3 2 1
Cartesian
-2.824 -2.556 1.003 Pr
0.000 0.000 0.000 Pr
-1.676 -5.833 -1.288 Pr
-3.463 -5.716 1.539 Sb
-1.037 -2.673 -1.824 Sb
-2.753 0.260 -1.750 Nd
```

No. 2
Entry from the Alexandria database: crystalline Nb2Ge2Sb at its relaxed geometry (GGA-PBE).

Computed properties:
Polymorph energy (0 for the lowest one) = 0.000 eV/atom
DFT total energy = -34.45 eV per formula unit
Formation energy from raw total energies = -0.19 eV per atom

Geometry as POSCAR:
```
Nb2Ge2Sb
1.0
-0.320 -3.527 -0.900
2.795 -0.817 2.208
-3.277 -3.130 6.014
Sb Ge Nb
1 2 2
Cartesian
0.000 0.000 0.000 Sb
0.378 -3.059 4.438 Ge
-1.180 -4.414 2.884 Ge
-1.091 -5.101 5.541 Nb
0.289 -2.373 1.780 Nb
```

No. 3
Entry from the Alexandria database: crystalline CeSm2Ru at its relaxed geometry (GGA-PBE).

Computed properties:
Polymorph energy (0 for the lowest one) = 0.038 eV/atom
DFT total energy = -25.58 eV per formula unit
Calculated formation energy = -0.23 eV per atom

Geometry as POSCAR:
```
CeSm2Ru
1.0
-2.685 -2.556 -0.889
5.496 -2.094 -2.426
1.829 -4.803 8.289
Ru Sm Ce
2 4 2
Cartesian
3.267 -5.142 4.906 Ru
1.372 -4.311 0.068 Ru
2.672 -6.422 2.212 Sm
1.303 -1.287 -0.247 Sm
1.967 -3.030 2.762 Sm
3.336 -8.166 5.222 Sm
3.882 -3.981 -0.294 Ce
0.757 -5.472 5.269 Ce
```